# 1
Material: Pr2GaPb
Method: DFT, GGA-PBE
State: relaxed

The structure belongs to space group R-3m (No. 166, hexagonal axes); the cell edges are 3.9270, 3.9270 and 27.9202 Å and the angles 90.00°, 90.00° and 120.00°. The asymmetric unit holds Pr at (0.0000, 0.0000, 0.2418), Ga at (0.0000, 0.0000, 0.5000) and Pb at (0.0000, 0.0000, 0.0000).

The value obtained for the density of states at the Fermi level is 3.96 states/eV/f.u. Its formation energy is -1.5 eV per formula unit. The calculation puts the mass density at 7.465 g/cm3.

---

# 2
Material: La2ZnCo
Method: DFT, GGA-PBE
State: relaxed

The structure belongs to space group P4/mmm (No. 123); the cell edges are 3.600, 3.600 and 7.369 Å and the angles 90.00°, 90.00° and 90.00°. The asymmetric unit holds La at (0.000, 0.000, 0.225), Zn at (0.500, 0.500, 0.500) and Co at (0.500, 0.500, 0.000).

The value obtained for the density of states at the Fermi level is 2.39 states/eV/f.u. Its formation energy is -0.5 eV per formula unit. The calculation puts the mass density at 6.993 g/cm3.

---

# 3
Material: La2Mg3Hg2
Method: DFT, GGA-PBE
State: relaxed

The structure belongs to space group C2/m (No. 12); the cell edges are 11.036, 4.768 and 7.423 Å and the angles 90.00°, 98.30° and 90.00°. The asymmetric unit holds La at (0.110, 0.000, 0.354), Mg at (0.000, 0.500, 0.000), Mg at (0.198, 0.000, 0.873) and Hg at (0.105, 0.500, 0.674).

The value obtained for the density of states at the Fermi level is 5.71 states/eV/f.u. Its formation energy is -2.0 eV per formula unit. The energy above the most stable polymorph in this dataset comes out at 0.050 eV/atom. The calculation puts the mass density at 6.460 g/cm3.

---

# 4
Material: Tl2VPt
Method: DFT, GGA-PBE
State: relaxed

The structure belongs to space group Fm-3m (No. 225); the cell edges are 6.797, 6.797 and 6.797 Å and the angles 90.00°, 90.00° and 90.00°. The asymmetric unit holds Tl at (0.250, 0.250, 0.250), V at (0.000, 0.000, 0.000) and Pt at (0.000, 0.000, 0.500).

The value obtained for the density of states at the Fermi level is 2.20 states/eV/f.u. Its formation energy is 1.2 eV per formula unit. The energy above the most stable polymorph in this dataset comes out at 0.000 eV/atom. The calculation puts the mass density at 13.848 g/cm3.

---

# 5
Material: BaIn2Ru
Method: DFT, GGA-PBE
State: relaxed

The structure belongs to space group Pm (No. 6); the cell edges are 3.504, 3.974 and 7.958 Å and the angles 90.00°, 100.71° and 90.00°. The asymmetric unit holds Ba at (0.000, 0.000, 0.000), In at (0.169, 0.000, 0.593), In at (0.621, 0.500, 0.336) and Ru at (0.695, 0.500, 0.686).

The value obtained for the density of states at the Fermi level is 3.17 states/eV/f.u. Its formation energy is 0.4 eV per formula unit. The calculation puts the mass density at 7.137 g/cm3.

---

# 6
Material: PrSF
Method: DFT, GGA-PBE
State: relaxed

The structure belongs to space group P-6m2 (No. 187); the cell edges are 4.1073, 4.1073 and 3.9807 Å and the angles 90.00°, 90.00° and 120.00°. The asymmetric unit holds Pr at (0.0000, 0.0000, 0.0000), S at (0.6667, 0.3333, 0.5000) and F at (0.3333, 0.6667, 0.0000).

The calculation puts the uncorrected formation energy at -2.936 eV/atom. The value obtained for the density of states at the Fermi level is 0.00 states/eV/f.u. The calculation puts the mass density at 5.481 g/cm3.

---

# 7
Material: Bi3IrCl
Method: DFT, GGA-PBE
State: relaxed

The structure belongs to space group C2/c (No. 15); the cell edges are 11.519, 15.597 and 6.601 Å and the angles 90.00°, 101.05° and 90.00°. The asymmetric unit holds Bi at (0.074, 0.195, 0.025), Bi at (0.126, 0.340, 0.646), Bi at (0.170, 0.424, 0.114), Ir at (0.000, 0.326, 0.250), Ir at (0.000, 0.483, 0.750) and Cl at (0.133, 0.089, 0.462).

The calculation puts the uncorrected formation energy at -0.177 eV/atom. The value obtained for the density of states at the Fermi level is 0.86 states/eV/f.u. The energy above the most stable polymorph in this dataset comes out at 0.000 eV/atom. The calculation puts the mass density at 9.754 g/cm3.

---

# 8
Material: Cs2CaTlBr5
Method: DFT, GGA-PBE
State: relaxed

The structure belongs to space group Cmc2_1 (No. 36); the cell edges are 4.619, 20.345 and 16.516 Å and the angles 90.00°, 90.00° and 90.00°. The asymmetric unit holds Cs at (0.000, 0.083, 0.000), Cs at (0.000, 0.143, 0.644), Ca at (0.000, 0.225, 0.376), Tl at (0.000, 0.459, 0.800), Br at (0.000, 0.089, 0.422), Br at (0.000, 0.259, 0.994), Br at (0.000, 0.300, 0.764), Br at (0.000, 0.364, 0.335) and Br at (0.000, 0.493, 0.119).

The calculation puts the uncorrected formation energy at -1.652 eV/atom. The value obtained for the density of states at the Fermi level is 0.00 states/eV/f.u. The calculation puts the mass density at 3.894 g/cm3.

---

# 9
Material: NpTl2Pd9
Method: DFT, GGA-PBE
State: relaxed

The structure belongs to space group P4/mmm (No. 123); the cell edges are 4.102, 4.102 and 12.317 Å and the angles 90.00°, 90.00° and 90.00°. The asymmetric unit holds Np at (0.000, 0.000, 0.000), Tl at (0.000, 0.000, 0.338), Pd at (0.000, 0.500, 0.163), Pd at (0.000, 0.500, 0.500), Pd at (0.500, 0.500, 0.000) and Pd at (0.500, 0.500, 0.331).

The value obtained for the density of states at the Fermi level is 14.55 states/eV/f.u. Its formation energy is -3.6 eV per formula unit. The calculation puts the mass density at 12.847 g/cm3.

---

# 10
Material: LaHo5Er4
Method: DFT, GGA-PBE
State: relaxed

The structure belongs to space group P-1 (No. 2); the cell edges are 3.546, 6.588 and 14.211 Å and the angles 99.26°, 94.14° and 102.85°. The asymmetric unit holds La at (0.000, 0.000, 0.000), Ho at (0.206, 0.883, 0.584), Ho at (0.499, 0.571, 0.387), Ho at (0.500, 0.500, 0.000), Er at (0.104, 0.802, 0.217) and Er at (0.222, 0.736, 0.801).

The value obtained for the density of states at the Fermi level is 16.14 states/eV/f.u. Its formation energy is 0.7 eV per formula unit. The energy above the most stable polymorph in this dataset comes out at 0.000 eV/atom. The calculation puts the mass density at 8.539 g/cm3.

---

# 11
Material: KPtPb2W
Method: DFT, GGA-PBE
State: relaxed

The structure belongs to space group P4/mmm (No. 123); the cell edges are 5.502, 5.502 and 4.913 Å and the angles 90.00°, 90.00° and 90.00°. The asymmetric unit holds K at (0.000, 0.000, 0.000), Pt at (0.000, 0.000, 0.500), Pb at (0.000, 0.500, 0.000) and W at (0.500, 0.500, 0.500).

The value obtained for the density of states at the Fermi level is 6.93 states/eV/f.u. Its formation energy is 12.1 eV per formula unit. The calculation puts the mass density at 9.293 g/cm3.

---

# 12
Material: LiPb3F
Method: DFT, GGA-PBE
State: relaxed

The structure belongs to space group Pm-3m (No. 221); the cell edges are 5.101, 5.101 and 5.101 Å and the angles 90.00°, 90.00° and 90.00°. The asymmetric unit holds Li at (0.000, 0.000, 0.000), Pb at (0.000, 0.000, 0.500) and F at (0.500, 0.500, 0.500).

The calculation puts the uncorrected formation energy at -0.195 eV/atom. The value obtained for the density of states at the Fermi level is 3.13 states/eV/f.u. The energy above the most stable polymorph in this dataset comes out at 0.314 eV/atom. The calculation puts the mass density at 8.103 g/cm3.

---

- The lowest mass density belongs to which entry?
  Cs2CaTlBr5